! K2WCl2F4 (GGA+U, relaxed); values from VASP
&SYSTEM
  ibrav = 0, nat = 9, ntyp = 4
/
ATOMIC_SPECIES
K 39.10 K.upf
F 19.00 F.upf
Cl 35.45 Cl.upf
W 183.84 W.upf
ATOMIC_POSITIONS crystal
K 0.144 0.639 0.639
K 0.856 0.361 0.361
F 0.747 0.286 0.810
F 0.253 0.190 0.714
F 0.747 0.810 0.286
F 0.253 0.714 0.190
Cl 0.667 0.815 0.815
Cl 0.333 0.185 0.185
W 0.500 0.000 0.000
CELL_PARAMETERS angstrom
5.161 -0.623 -0.424
0.430 6.741 0.917
0.430 3.328 5.933
! - E: -42.4 eV for the cell shown
! - Space-group type: C2/m, No. 12